First-principles (GGA+U) data for a relaxed structure of CdMo2O6F, as listed in Alexandria via LeMat-Bulk.

The space group is C2/c (No. 15) and the conventional cell measures 13.4271, 10.0725 and 5.2578 Å, with angles of 90.00, 112.12 and 90.00 degrees. Symmetry generates all atoms from Cd at (0.0000, 0.1501, 0.2500), Mo at (0.1929, 0.3666, 0.0798), O at (0.0664, 0.3083, 0.0632), O at (0.1896, 0.2422, 0.7461), O at (0.2146, 0.4897, 0.3734) and F at (0.0000, 0.0566, 0.7500).

The density comes out at 4.2 g/cm³. The total energy is -6.17 eV/atom.